Record 1
BeNi2P (SCAN, PBEsol geometry); density = 6.74 g/cm3; total magnetization = 0.00 μB per formula unit; offset from the most stable computed form = 0.0000 eV per atom; E_form = -1.51 eV per formula unit; space-group type = P4/mmm, No. 123
1.0
3.542 0.000 0.000
0.000 3.542 0.000
0.000 0.000 3.092
Be Ni P
1 2 1
direct
0.000 0.000 0.000
0.000 0.500 0.500
0.500 0.000 0.500
0.500 0.500 0.000



Record 2
SrZn2As (SCAN, PBEsol geometry); density = 5.64 g/cm3; total magnetization = 0.00 μB per formula unit; E_form = -0.57 eV per formula unit; space-group type = P4/mmm, No. 123
1.0
3.695 0.000 0.000
0.000 3.695 0.000
0.000 0.000 6.332
Sr Zn As
1 2 1
direct
0.000 0.000 0.000
0.500 0.500 0.306
0.500 0.500 0.694
0.000 0.000 0.500



Record 3
OsPbN2O (SCAN, PBEsol geometry); density = 10.18 g/cm3; formation energy without anion corrections = 56.13 kcal/mol of atoms; total magnetization = 3.77 μB per formula unit; space-group type = P4/mmm, No. 123
1.0
4.222 0.000 0.000
0.000 4.222 0.000
0.000 0.000 4.038
Os Pb N O
1 1 2 1
direct
0.000 0.000 0.000
0.500 0.500 0.500
0.000 0.500 0.500
0.500 0.000 0.500
0.500 0.500 0.000



Record 4
Be2TlCd (SCAN, PBEsol geometry); density = 8.21 g/cm3; total magnetization = 0.00 μB per formula unit; offset from the most stable computed form = 0.0000 eV per atom; E_form = 2.29 eV per formula unit; space-group type = R3m, No. 160
1.0
3.059 0.000 0.000
-1.529 2.649 0.000
0.000 0.000 25.072
Be Tl Cd
6 3 3
direct
0.000 0.000 0.000
0.000 0.000 0.275
0.333 0.667 0.667
0.333 0.667 0.942
0.667 0.333 0.333
0.667 0.333 0.609
0.000 0.000 0.753
0.333 0.667 0.420
0.667 0.333 0.087
0.000 0.000 0.530
0.333 0.667 0.196
0.667 0.333 0.863



Record 5
K3IrW (SCAN, PBEsol geometry); density = 3.95 g/cm3; total magnetization = 6.00 μB per formula unit; E_form = 10.02 eV per formula unit; space-group type = Pm-3m, No. 221
1.0
5.919 0.000 0.000
0.000 5.919 0.000
0.000 0.000 5.919
K Ir W
3 1 1
direct
0.000 0.000 0.500
0.000 0.500 0.000
0.500 0.000 0.000
0.000 0.000 0.000
0.500 0.500 0.500



Record 6
CrSiHgF2 (SCAN, PBEsol geometry); density = 6.80 g/cm3; formation energy without anion corrections = -32.21 kcal/mol of atoms; total magnetization = 2.85 μB per formula unit; space-group type = P4/mmm, No. 123
1.0
3.826 0.000 0.000
0.000 3.826 0.000
0.000 0.000 5.314
Cr Si Hg F
1 1 1 2
direct
0.000 0.000 0.000
0.000 0.000 0.500
0.500 0.500 0.500
0.000 0.500 0.000
0.500 0.000 0.000



Record 7
TlHgCl (SCAN, PBEsol geometry); density = 7.88 g/cm3; formation energy without anion corrections = -11.37 kcal/mol of atoms; total magnetization = 0.00 μB per formula unit; offset from the most stable computed form = 0.1368 eV per atom; space-group type = F-43m, No. 216
1.0
7.188 0.000 0.000
0.000 7.188 0.000
0.000 0.000 7.188
Tl Hg Cl
4 4 4
direct
0.000 0.000 0.000
0.000 0.500 0.500
0.500 0.000 0.500
0.500 0.500 0.000
0.250 0.250 0.250
0.250 0.750 0.750
0.750 0.250 0.750
0.750 0.750 0.250
0.000 0.000 0.500
0.000 0.500 0.000
0.500 0.000 0.000
0.500 0.500 0.500



Record 8
Y2RuPt (SCAN, PBEsol geometry); density = 9.51 g/cm3; total magnetization = 0.00 μB per formula unit; E_form = -3.37 eV per formula unit; space-group type = Amm2, No. 38
1.0
4.342 0.000 0.000
0.000 3.630 0.000
0.000 0.000 10.497
Y Ru Pt
4 2 2
direct
0.000 0.000 0.000
0.000 0.500 0.500
0.500 0.000 0.287
0.500 0.500 0.787
0.000 0.000 0.728
0.000 0.500 0.228
0.500 0.000 0.563
0.500 0.500 0.063



Record 9
ScHg (SCAN, PBEsol geometry); density = 9.52 g/cm3; total magnetization = 0.12 μB per formula unit; E_form = -1.25 eV per formula unit; space-group type = Cmcm, No. 63
1.0
3.458 0.000 0.000
0.000 10.861 0.000
0.000 0.000 4.561
Sc Hg
4 4
direct
0.000 0.150 0.250
0.000 0.850 0.750
0.500 0.350 0.750
0.500 0.650 0.250
0.000 0.413 0.250
0.000 0.587 0.750
0.500 0.087 0.750
0.500 0.913 0.250



Record 10
TaNbFe2Se (SCAN, PBEsol geometry); density = 9.37 g/cm3; formation energy without anion corrections = 18.66 kcal/mol of atoms; total magnetization = 3.07 μB per formula unit; space-group type = P4/mmm, No. 123
1.0
4.189 0.000 0.000
0.000 4.189 0.000
0.000 0.000 4.694
Ta Nb Fe Se
1 1 2 1
direct
0.000 0.000 0.000
0.500 0.500 0.000
0.000 0.500 0.500
0.500 0.000 0.500
0.500 0.500 0.500



Record 11
Ca5La (SCAN, PBEsol geometry); density = 2.39 g/cm3; total magnetization = 0.89 μB per formula unit; offset from the most stable computed form = 0.0000 eV per atom; E_form = 0.25 eV per formula unit; space-group type = Amm2, No. 38
1.0
6.246 0.000 0.000
0.000 3.774 0.000
0.000 0.000 19.963
Ca La
10 2
direct
0.000 0.000 0.000
0.000 0.000 0.330
0.000 0.500 0.500
0.000 0.500 0.830
0.500 0.000 0.221
0.500 0.000 0.558
0.500 0.000 0.888
0.500 0.500 0.058
0.500 0.500 0.388
0.500 0.500 0.721
0.000 0.000 0.665
0.000 0.500 0.165



Record 12
BaCrPbO2 (SCAN, PBEsol geometry); density = 6.50 g/cm3; formation energy without anion corrections = -9.21 kcal/mol of atoms; total magnetization = 5.52 μB per formula unit; space-group type = P4/mmm, No. 123
1.0
4.655 0.000 0.000
0.000 4.655 0.000
0.000 0.000 5.054
Ba Cr Pb O
1 1 1 2
direct
0.000 0.000 0.000
0.500 0.500 0.000
0.500 0.500 0.500
0.000 0.500 0.500
0.500 0.000 0.500